Compound: InTcRh2
Source: Alexandria
Functional: PBE
Structure: optimized geometry

Structure (POSCAR):
```
InTcRh2
1.0
-1.134 -2.227 -1.365
1.665 0.531 -2.249
5.436 -4.572 2.944
In Rh Tc
1 2 1
Direct
0.500 0.500 0.750 In
0.000 0.000 0.017 Rh
0.000 0.000 0.483 Rh
0.500 0.500 0.250 Tc
```

Summary:
**Raw total energy**: -7.1197 eV/atom
**Formation enthalpy at 0 K**: -0.17 eV per atom
**D(E_F)**: 2.5 states/eV/cell



Compound: AlCd2F
Source: Alexandria
Functional: PBE
Structure: optimized geometry

Structure (POSCAR):
```
AlCd2F
1.0
0.000 3.377 3.377
3.377 0.000 3.377
3.377 3.377 0.000
F Al Cd
1 1 2
Direct
0.000 0.000 0.000 F
0.500 0.500 0.500 Al
0.250 0.250 0.250 Cd
0.750 0.750 0.750 Cd
```

Summary:
**Raw total energy**: -2.2629 eV/atom
**Formation energy (no corrections)**: -402 meV per atom
**D(E_F)**: 1.6 states/eV/cell
**Energy above the lowest structure with this stoichiometry**: 114 meV per atom